## w
NaCd2Hg4 after structural relaxation. Source: the Alexandria database, functional PBE-GGA.

Lattice parameters (Å, degrees): 8.5361 5.9137 7.6290 90.00 105.69 90.00
Fractional coordinates of all 14 atoms:
Hg: 0.8694 0.2500 0.5173
Cd: 0.8814 0.7500 0.1265
Cd: 0.4213 0.2500 0.4456
Hg: 0.0701 0.2500 0.2396
Na: 0.2568 0.7500 0.1218
Hg: 0.1306 0.7500 0.4827
Hg: 0.3962 0.9976 0.7995
Hg: 0.3962 0.5024 0.7995
Hg: 0.6038 0.4976 0.2005
Cd: 0.5787 0.7500 0.5544
Na: 0.7432 0.2500 0.8782
Cd: 0.1186 0.2500 0.8735
Hg: 0.9299 0.7500 0.7604
Hg: 0.6038 0.0024 0.2005

---

## x
NaCd2Hg4 after structural relaxation. Source: the Alexandria database, functional PBE-GGA.

Lattice parameters (Å, degrees): 5.7340 5.7340 8.4691 70.21 70.21 90.00
Fractional coordinates of all 7 atoms:
Hg: 0.2019 0.2019 0.5962
Hg: 0.7981 0.7981 0.4038
Cd: 0.3999 0.3999 0.2001
Hg: 0.5000 0.0000 0.0000
Cd: 0.6001 0.6001 0.7999
Na: 0.0000 0.0000 0.0000
Hg: 0.0000 0.5000 0.0000

---

Here are the energies relative to the best structure, in meV/atom: w 0; x 151.

---

## w
Na2CdHg2 after structural relaxation. Source: the Alexandria database, functional PBE-GGA.

Lattice parameters (Å, degrees): 9.1153 9.1153 3.3086 90.00 90.00 90.00
Fractional coordinates of all 10 atoms:
Hg: 0.8773 0.3773 0.5000
Hg: 0.3773 0.1227 0.5000
Na: 0.6736 0.1736 0.0000
Cd: 0.0000 0.0000 0.0000
Hg: 0.1227 0.6227 0.5000
Cd: 0.5000 0.5000 0.0000
Na: 0.8264 0.6736 0.0000
Na: 0.3264 0.8264 0.0000
Na: 0.1736 0.3264 0.0000
Hg: 0.6227 0.8773 0.5000

---

## x
Na2CdHg2 after structural relaxation. Source: the Alexandria database, functional PBE-GGA.

Lattice parameters (Å, degrees): 4.9210 5.9934 10.5291 101.36 76.49 65.76
Fractional coordinates of all 10 atoms:
Cd: 0.5444 0.1980 0.7132
Na: 0.1115 0.7247 0.0523
Hg: 0.6739 0.7942 0.8581
Hg: 0.9403 0.6967 0.4226
Na: 0.3007 0.7567 0.6419
Cd: 0.4556 0.8020 0.2868
Hg: 0.3261 0.2058 0.1419
Na: 0.8885 0.2753 0.9477
Hg: 0.0597 0.3033 0.5774
Na: 0.6993 0.2433 0.3581

---

Here are the energies relative to the best structure, in meV/atom: w 73; x 0.

---

## w
Na2CdHg2 after structural relaxation. Source: the Alexandria database, functional PBE-GGA.

Lattice parameters (Å, degrees): 8.1337 8.1337 4.0205 90.00 90.00 90.00
Fractional coordinates of all 10 atoms:
Cd: 0.0000 0.0000 0.0000
Cd: 0.5000 0.5000 0.0000
Na: 0.1670 0.6670 0.5000
Na: 0.3330 0.1670 0.5000
Na: 0.6670 0.8330 0.5000
Hg: 0.3664 0.8664 0.0000
Hg: 0.1336 0.3664 0.0000
Na: 0.8330 0.3330 0.5000
Hg: 0.6336 0.1336 0.0000
Hg: 0.8664 0.6336 0.0000

---

## x
Na2CdHg2 after structural relaxation. Source: the Alexandria database, functional PBE-GGA.

Lattice parameters (Å, degrees): 4.2614 4.2614 8.7956 75.98 75.98 90.00
Fractional coordinates of all 5 atoms:
Hg: 0.2500 0.7500 0.5000
Cd: 0.0000 0.0000 0.0000
Na: 0.6028 0.6028 0.7944
Hg: 0.7500 0.2500 0.5000
Na: 0.3972 0.3972 0.2056

---

Here are the energies relative to the best structure, in meV/atom: w 0; x 110.

---

## w
Na2CdHg2 after structural relaxation. Source: the Alexandria database, functional PBE-GGA.

Lattice parameters (Å, degrees): 4.5500 4.5500 7.6634 72.73 72.73 90.00
Fractional coordinates of all 5 atoms:
Na: 0.2500 0.7500 0.5000
Cd: 0.0000 0.0000 0.0000
Hg: 0.6017 0.6017 0.7965
Na: 0.7500 0.2500 0.5000
Hg: 0.3983 0.3983 0.2035

---

## x
Na2CdHg2 after structural relaxation. Source: the Alexandria database, functional PBE-GGA.

Lattice parameters (Å, degrees): 5.1368 5.2689 9.7019 74.24 90.01 90.00
Fractional coordinates of all 10 atoms:
Hg: 0.9386 0.3542 0.2916
Cd: 0.4426 0.0487 0.9025
Na: 0.9408 0.7533 0.4933
Cd: 0.9430 0.9513 0.0975
Na: 0.9386 0.5542 0.8916
Hg: 0.4394 0.6458 0.7084
Hg: 0.4443 0.8507 0.2985
Na: 0.4381 0.4458 0.1084
Na: 0.4399 0.2467 0.5067
Hg: 0.9435 0.1493 0.7015

---

Here are the energies relative to the best structure, in meV/atom: w 168; x 0.

---

## w
Na2CdHg8 after structural relaxation. Source: the Alexandria database, functional PBE-GGA.

Lattice parameters (Å, degrees): 5.2224 6.9770 8.5783 105.40 107.72 90.00
Fractional coordinates of all 11 atoms:
Hg: 0.1564 0.1734 0.3128
Hg: 0.9768 0.2689 0.9537
Hg: 0.6012 0.4343 0.2024
Na: 0.2110 0.6581 0.4221
Na: 0.7890 0.3419 0.5779
Hg: 0.6636 0.8911 0.3272
Hg: 0.3988 0.5657 0.7976
Cd: 0.5000 0.0000 0.0000
Hg: 0.0232 0.7311 0.0463
Hg: 0.8436 0.8266 0.6872
Hg: 0.3364 0.1089 0.6728

---

## x
Na2CdHg8 after structural relaxation. Source: the Alexandria database, functional PBE-GGA.

Lattice parameters (Å, degrees): 4.8201 4.8201 12.5724 90.00 90.00 90.00
Fractional coordinates of all 11 atoms:
Hg: 0.0000 0.5000 0.8570
Hg: 0.0000 0.5000 0.1430
Hg: 0.5000 0.0000 0.1430
Hg: 0.5000 0.5000 0.3211
Na: 0.0000 0.0000 0.3191
Hg: 0.5000 0.0000 0.8570
Hg: 0.0000 0.5000 0.5000
Hg: 0.5000 0.5000 0.6789
Na: 0.0000 0.0000 0.6809
Cd: 0.0000 0.0000 0.0000
Hg: 0.5000 0.0000 0.5000

---

Here are the energies relative to the best structure, in meV/atom: w 6; x 0.

---

## w
Na4CdHg4 after structural relaxation. Source: the Alexandria database, functional PBE-GGA.

Lattice parameters (Å, degrees): 6.1275 8.2011 6.1275 68.06 90.00 111.94
Fractional coordinates of all 9 atoms:
Cd: 0.0000 0.0000 0.0000
Hg: 0.0378 0.6503 0.9622
Na: 0.8005 0.2096 0.1995
Hg: 0.6124 0.6503 0.3876
Na: 0.4091 0.2096 0.5909
Na: 0.5909 0.7904 0.8005
Hg: 0.9622 0.3497 0.6124
Hg: 0.3876 0.3497 0.0378
Na: 0.1995 0.7904 0.4091

---

## x
Na4CdHg4 after structural relaxation. Source: the Alexandria database, functional PBE-GGA.

Lattice parameters (Å, degrees): 7.7522 7.7522 7.1077 123.05 123.05 90.00
Fractional coordinates of all 9 atoms:
Hg: 0.5785 0.5785 0.6271
Cd: 0.0000 0.0000 0.0000
Hg: 0.9514 0.4215 0.3729
Na: 0.6565 0.6565 0.3129
Hg: 0.0486 0.0486 0.6271
Hg: 0.4215 0.9514 0.3729
Na: 0.3435 0.3435 0.6871
Na: 0.5000 0.0000 0.0000
Na: 0.0000 0.5000 0.0000

---

Here are the energies relative to the best structure, in meV/atom: w 0; x 40.

---

## w
NaCd5Hg2 after structural relaxation. Source: the Alexandria database, functional PBE-GGA.

Lattice parameters (Å, degrees): 4.4258 6.4937 13.0517 90.00 90.00 90.00
Fractional coordinates of all 16 atoms:
Na: 0.0000 0.0000 0.5000
Hg: 0.5000 0.7331 0.8780
Cd: 0.0000 0.4855 0.7454
Cd: 0.0000 0.9855 0.7546
Cd: 0.0000 0.5000 0.5000
Cd: 0.0000 0.0145 0.2454
Cd: 0.5000 0.2600 0.3717
Na: 0.0000 0.5000 0.0000
Cd: 0.5000 0.2400 0.8717
Cd: 0.0000 0.0000 0.0000
Cd: 0.5000 0.7600 0.1283
Cd: 0.0000 0.5145 0.2546
Hg: 0.5000 0.7669 0.3780
Hg: 0.5000 0.2669 0.1220
Cd: 0.5000 0.7400 0.6283
Hg: 0.5000 0.2331 0.6220

---

## x
NaCd5Hg2 after structural relaxation. Source: the Alexandria database, functional PBE-GGA.

Lattice parameters (Å, degrees): 3.5222 7.6520 7.6520 76.69 76.69 76.69
Fractional coordinates of all 8 atoms:
Hg: 0.2665 0.2335 0.2335
Na: 0.0000 0.0000 0.0000
Cd: 0.6302 0.5916 0.1480
Hg: 0.7335 0.7665 0.7665
Cd: 0.6302 0.1480 0.5916
Cd: 0.0000 0.5000 0.5000
Cd: 0.3698 0.4084 0.8520
Cd: 0.3698 0.8520 0.4084

---

Here are the energies relative to the best structure, in meV/atom: w 8; x 0.

---

## w
NaCd4Hg5 after structural relaxation. Source: the Alexandria database, functional PBE-GGA.

Lattice parameters (Å, degrees): 5.3206 5.3206 19.7840 41.09 138.91 125.62
Fractional coordinates of all 10 atoms:
Hg: 0.5121 0.4879 0.1064
Na: 0.0000 0.0000 0.0000
Cd: 0.0076 0.9924 0.8055
Cd: 0.0082 0.9918 0.4044
Cd: 0.9924 0.0076 0.1945
Hg: 0.5000 0.5000 0.5000
Hg: 0.4993 0.5007 0.7018
Hg: 0.5007 0.4993 0.2982
Hg: 0.4879 0.5121 0.8936
Cd: 0.9918 0.0082 0.5956

---

## x
NaCd4Hg5 after structural relaxation. Source: the Alexandria database, functional PBE-GGA.

Lattice parameters (Å, degrees): 3.7812 3.7812 17.2455 90.00 90.00 90.00
Fractional coordinates of all 10 atoms:
Hg: 0.5000 0.5000 0.1050
Cd: 0.0000 0.0000 0.2051
Cd: 0.0000 0.0000 0.7949
Hg: 0.5000 0.5000 0.5000
Na: 0.0000 0.0000 0.0000
Hg: 0.5000 0.5000 0.8950
Hg: 0.5000 0.5000 0.6967
Cd: 0.0000 0.0000 0.5999
Hg: 0.5000 0.5000 0.3033
Cd: 0.0000 0.0000 0.4001

---

Here are the energies relative to the best structure, in meV/atom: w 0; x 11.

---

## w
Na3CdHg after structural relaxation. Source: the Alexandria database, functional PBE-GGA.

Lattice parameters (Å, degrees): 6.1009 5.9745 8.0249 90.00 104.77 90.00
Fractional coordinates of all 10 atoms:
Na: 0.0000 0.5000 0.0000
Na: 0.0000 0.0000 0.0000
Na: 0.3358 0.7500 0.4096
Na: 0.5339 0.2500 0.1436
Cd: 0.9345 0.7500 0.6352
Na: 0.4661 0.7500 0.8564
Na: 0.6642 0.2500 0.5904
Hg: 0.2227 0.2500 0.7383
Cd: 0.0655 0.2500 0.3648
Hg: 0.7773 0.7500 0.2617

---

## x
Na3CdHg after structural relaxation. Source: the Alexandria database, functional PBE-GGA.

Lattice parameters (Å, degrees): 7.4194 7.4194 7.6710 106.84 120.05 100.52
Fractional coordinates of all 10 atoms:
Na: 0.2217 0.3983 0.2362
Na: 0.2719 0.5623 0.8342
Na: 0.8379 0.0146 0.2362
Cd: 0.2778 0.9270 0.2048
Na: 0.1621 0.9854 0.7638
Na: 0.7281 0.4377 0.1658
Cd: 0.7222 0.0730 0.7952
Hg: 0.3743 0.2338 0.6081
Na: 0.7783 0.6017 0.7638
Hg: 0.6257 0.7662 0.3919

---

Here are the energies relative to the best structure, in meV/atom: w 0; x 35.

---

## w
Na3CdHg after structural relaxation. Source: the Alexandria database, functional PBE-GGA.

Lattice parameters (Å, degrees): 5.8354 5.8354 5.8354 90.00 90.00 90.00
Fractional coordinates of all 5 atoms:
Cd: 0.0000 0.0000 0.0000
Hg: 0.5000 0.5000 0.5000
Na: 0.0000 0.0000 0.5000
Na: 0.0000 0.5000 0.0000
Na: 0.5000 0.0000 0.0000

---

## x
Na3CdHg after structural relaxation. Source: the Alexandria database, functional PBE-GGA.

Lattice parameters (Å, degrees): 5.7370 5.7370 5.7370 90.00 90.00 90.00
Fractional coordinates of all 5 atoms:
Hg: 0.0000 0.0000 0.0000
Na: 0.0000 0.5000 0.0000
Cd: 0.5000 0.5000 0.5000
Na: 0.0000 0.0000 0.5000
Na: 0.5000 0.0000 0.0000

---

Here are the energies relative to the best structure, in meV/atom: w 39; x 0.

---

## w
NaCd3Hg3 after structural relaxation. Source: the Alexandria database, functional PBE-GGA.

Lattice parameters (Å, degrees): 8.0310 8.0310 8.0310 90.00 90.00 90.00
Fractional coordinates of all 14 atoms:
Na: 0.5000 0.5000 0.5000
Cd: 0.0000 0.5000 0.7500
Cd: 0.7500 0.0000 0.5000
Na: 0.0000 0.0000 0.0000
Hg: 0.2500 0.5000 0.0000
Hg: 0.5000 0.0000 0.7500
Hg: 0.7500 0.5000 0.0000
Hg: 0.0000 0.2500 0.5000
Cd: 0.5000 0.2500 0.0000
Cd: 0.5000 0.7500 0.0000
Hg: 0.0000 0.7500 0.5000
Cd: 0.2500 0.0000 0.5000
Cd: 0.0000 0.5000 0.2500
Hg: 0.5000 0.0000 0.2500

---

## x
NaCd3Hg3 after structural relaxation. Source: the Alexandria database, functional PBE-GGA.

Lattice parameters (Å, degrees): 7.6632 7.6632 8.2454 62.31 62.31 60.00
Fractional coordinates of all 14 atoms:
Hg: 0.1910 0.7168 0.1869
Cd: 0.7289 0.0697 0.6240
Cd: 0.4225 0.2711 0.3760
Cd: 0.9303 0.4225 0.3760
Na: 0.6599 0.6599 0.0202
Cd: 0.0697 0.5775 0.6240
Hg: 0.2832 0.0947 0.8131
Hg: 0.8090 0.2832 0.8131
Hg: 0.7168 0.9053 0.1869
Cd: 0.2711 0.9303 0.3760
Na: 0.3401 0.3401 0.9798
Cd: 0.5775 0.7289 0.6240
Hg: 0.0947 0.8090 0.8131
Hg: 0.9053 0.1910 0.1869

---

Here are the energies relative to the best structure, in meV/atom: w 194; x 0.